PmPdN | PBE-GGA | relaxed

Cell: 7.8640 7.8640 7.8640 Å, 31.04 31.04 31.04°
Last column: nearest neighbours and their distance in Å.
Positions (direct):
Pm: 0.1096 0.1096 0.1096  4 N 2.36-2.44
Pm: 0.8904 0.8904 0.8904  4 N 2.36-2.44
Pd: 0.3074 0.3074 0.3074  1 N 2.08
Pd: 0.6926 0.6926 0.6926  1 N 2.08
N: 0.2146 0.2146 0.2146  1 Pd 2.08
N: 0.7854 0.7854 0.7854  1 Pd 2.08

Results
space-group type	R-3m (166)
formation energy without anion corrections	-0.794	eV/atom
DOS at the Fermi energy	0.57	states/eV per cell

UCrPt6 | PBE-GGA | relaxed

Cell: 5.7134 5.7134 4.0578 Å, 90.00 90.00 90.00°
Last column: nearest neighbours and their distance in Å.
Positions (direct):
U: 0.0000 0.0000 0.0000  12 Pt 2.86-2.88
Cr: 0.5000 0.5000 0.0000  12 Pt 2.85-2.86
Pt: 0.0000 0.5000 0.0000  2 Cr 2.86, 2 U 2.86, 8 Pt 2.86
Pt: 0.2527 0.2527 0.5000  8 Pt 2.83-2.89, 2 Cr 2.85, 2 U 2.88
Pt: 0.2527 0.7473 0.5000  8 Pt 2.83-2.89, 2 Cr 2.85, 2 U 2.88
Pt: 0.5000 0.0000 0.0000  2 Cr 2.86, 2 U 2.86, 8 Pt 2.86
Pt: 0.7473 0.2527 0.5000  8 Pt 2.83-2.89, 2 Cr 2.85, 2 U 2.88
Pt: 0.7473 0.7473 0.5000  8 Pt 2.83-2.89, 2 Cr 2.85, 2 U 2.88

Results
space-group type	P4/mmm (123)
energy of formation	-0.519	eV per atom
DOS at the Fermi energy	7.76	states/eV per cell

K2LaPtO4 | PBE-GGA | relaxed

Cell: 5.7182 5.7182 5.7182 Å, 112.98 112.98 102.66°
Last column: nearest neighbours and their distance in Å.
Positions (direct):
K: 0.0000 0.0000 0.0000  4 O 2.68
K: 0.7500 0.2500 0.5000  4 O 2.59
La: 0.5000 0.5000 0.0000  4 O 2.35
Pt: 0.2500 0.7500 0.5000  4 O 2.01
O: 0.1227 0.0548 0.6116  1 Pt 2.01
O: 0.4432 0.5111 0.3884  1 Pt 2.01
O: 0.4889 0.8773 0.9321  1 Pt 2.01
O: 0.9452 0.5568 0.0679  1 Pt 2.01

Results
space-group type	I-4 (82)
formation energy without anion corrections	-1.696	eV/atom
DOS at the Fermi energy	6.07	states/eV per cell

LiCePuMn | PBE-GGA | relaxed

Cell: 4.7480 4.7480 4.7480 Å, 60.00 60.00 60.00°
Last column: nearest neighbours and their distance in Å.
Positions (direct):
Li: 0.0000 0.0000 0.0000  4 Mn 2.91, 4 Ce 2.91
Ce: 0.2500 0.2500 0.2500  4 Li 2.91, 4 Pu 2.91
Pu: 0.5000 0.5000 0.5000  4 Mn 2.91, 4 Ce 2.91
Mn: 0.7500 0.7500 0.7500  4 Li 2.91, 4 Pu 2.91

Results
space-group type	F-43m (216)
energy of formation	0.151	eV per atom
DOS at the Fermi energy	12.32	states/eV per cell

Tl5Cd | PBE-GGA | relaxed

Cell: 3.5154 3.5154 14.2686 Å, 90.00 90.00 90.00°
Last column: nearest neighbours and their distance in Å.
Positions (direct):
Tl: 0.0000 0.0000 0.0000  12 Tl 3.52-3.53
Tl: 0.0000 0.0000 0.3487  4 Cd 3.29, 8 Tl 3.51-3.52
Tl: 0.0000 0.0000 0.6513  4 Cd 3.29, 8 Tl 3.51-3.52
Tl: 0.5000 0.5000 0.1752  12 Tl 3.51-3.53
Tl: 0.5000 0.5000 0.8248  12 Tl 3.51-3.53
Cd: 0.5000 0.5000 0.5000  8 Tl 3.29, 4 Cd 3.52

Results
space-group type	P4/mmm (123)
energy of formation	0.024	eV per atom
DOS at the Fermi energy	2.92	states/eV per cell
energy relative to the lowest polymorph listed for this composition	0.2	meV/atom

YTh2NpN4 | PBE-GGA | relaxed

Cell: 6.1484 3.5596 6.1853 Å, 90.00 109.28 90.00°
Last column: nearest neighbours and their distance in Å.
Positions (direct):
Y: 0.0000 0.0000 0.0000  6 N 2.47-2.50
Th: 0.0000 0.5000 0.5000  6 N 2.60-2.61
Th: 0.5000 0.0000 0.5000  6 N 2.55-2.56
Np: 0.5000 0.5000 0.0000  6 N 2.42-2.44
N: 0.2540 0.5000 0.2359  1 Np 2.42, 2 Y 2.50, 3 Th 2.55-2.61
N: 0.2615 0.0000 0.7702  2 Np 2.44, 1 Y 2.47, 3 Th 2.56-2.60
N: 0.7385 0.0000 0.2298  2 Np 2.44, 1 Y 2.47, 3 Th 2.56-2.60
N: 0.7460 0.5000 0.7641  1 Np 2.42, 2 Y 2.50, 3 Th 2.55-2.61

Results
space-group type	P2/m (10)
formation energy without anion corrections	-1.450	eV/atom
DOS at the Fermi energy	9.22	states/eV per cell

Ti3Pd2Au3 | PBE-GGA | relaxed

Cell: 5.0723 5.0723 13.8958 Å, 90.00 90.00 129.57°
Last column: nearest neighbours and their distance in Å.
Positions (direct):
Ti: 0.0329 0.9671 0.7500  3 Au 2.64-2.91, 2 Pd 2.64
Ti: 0.1374 0.8626 0.0509  3 Pd 2.61, 2 Au 2.82, 1 Ti 2.89
Ti: 0.1374 0.8626 0.4491  3 Pd 2.61, 2 Au 2.82, 1 Ti 2.89
Ti: 0.8626 0.1374 0.5509  3 Pd 2.61, 2 Au 2.82, 1 Ti 2.89
Ti: 0.8626 0.1374 0.9491  3 Pd 2.61, 2 Au 2.82, 1 Ti 2.89
Ti: 0.9671 0.0329 0.2500  3 Au 2.64-2.91, 2 Pd 2.64
Pd: 0.2463 0.7537 0.6224  4 Ti 2.61-2.64, 5 Au 2.78-2.85
Pd: 0.2463 0.7537 0.8776  4 Ti 2.61-2.64, 5 Au 2.78-2.85
Pd: 0.7537 0.2463 0.1224  4 Ti 2.61-2.64, 5 Au 2.78-2.85
Pd: 0.7537 0.2463 0.3776  4 Ti 2.61-2.64, 5 Au 2.78-2.85
Au: 0.2543 0.7457 0.2500  3 Ti 2.64-2.91, 4 Pd 2.80, 2 Au 2.81
Au: 0.4530 0.5470 0.0959  3 Pd 2.78-2.85, 2 Au 2.80-2.81, 7 Ti 2.82-3.09
Au: 0.4530 0.5470 0.4041  3 Pd 2.78-2.85, 2 Au 2.80-2.81, 7 Ti 2.82-3.09
Au: 0.5470 0.4530 0.5959  3 Pd 2.78-2.85, 2 Au 2.80-2.81, 7 Ti 2.82-3.09
Au: 0.5470 0.4530 0.9041  3 Pd 2.78-2.85, 2 Au 2.80-2.81, 7 Ti 2.82-3.09
Au: 0.7457 0.2543 0.7500  3 Ti 2.64-2.91, 4 Pd 2.80, 2 Au 2.81

Results
space-group type	Cmcm (63)
energy of formation	-0.357	eV per atom
DOS at the Fermi energy	11.83	states/eV per cell
energy relative to the lowest polymorph listed for this composition	94.7	meV/atom

Pm2Er5Tm3 | PBE-GGA | relaxed

Cell: 8.9726 8.9726 9.6001 Å, 106.67 106.67 105.84°
Last column: nearest neighbours and their distance in Å.
Positions (direct):
Pm: 0.0438 0.2931 0.0450  3 Tm 3.19-3.49, 3 Er 3.42-3.56
Pm: 0.2931 0.0438 0.5450  3 Tm 3.19-3.49, 3 Er 3.42-3.56
Pm: 0.7069 0.9562 0.4550  3 Tm 3.19-3.49, 3 Er 3.42-3.56
Pm: 0.9562 0.7069 0.9550  3 Tm 3.19-3.49, 3 Er 3.42-3.56
Er: 0.0352 0.9648 0.7500  3 Er 3.10-3.43, 2 Tm 3.40, 2 Pm 3.42
Er: 0.0830 0.3263 0.6821  3 Tm 3.35-3.69, 3 Er 3.42-3.45, 3 Pm 3.56-3.72
Er: 0.2519 0.7481 0.7500  3 Er 3.10-3.45, 2 Tm 3.27
Er: 0.3263 0.0830 0.1821  3 Tm 3.35-3.69, 3 Er 3.42-3.45, 3 Pm 3.56-3.72
Er: 0.5000 0.5000 0.2500  5 Tm 3.25-3.53, 3 Er 3.42-3.55, 2 Pm 3.63
Er: 0.5000 0.5000 0.7500  5 Tm 3.25-3.53, 3 Er 3.42-3.55, 2 Pm 3.63
Er: 0.6737 0.9170 0.8179  3 Tm 3.35-3.69, 3 Er 3.42-3.45, 3 Pm 3.56-3.72
Er: 0.7481 0.2519 0.2500  3 Er 3.10-3.45, 2 Tm 3.27
Er: 0.9170 0.6737 0.3179  3 Tm 3.35-3.69, 3 Er 3.42-3.45, 3 Pm 3.56-3.72
Er: 0.9648 0.0352 0.2500  3 Er 3.10-3.43, 2 Tm 3.40, 2 Pm 3.42
Tm: 0.2003 0.4570 0.4224  1 Pm 3.19, 5 Er 3.27-3.53, 1 Tm 3.33
Tm: 0.2730 0.7270 0.2500  3 Er 3.25-3.38, 4 Pm 3.31-3.49, 2 Tm 3.33
Tm: 0.4570 0.2003 0.9224  1 Pm 3.19, 5 Er 3.27-3.53, 1 Tm 3.33
Tm: 0.5430 0.7997 0.0776  1 Pm 3.19, 5 Er 3.27-3.53, 1 Tm 3.33
Tm: 0.7270 0.2730 0.7500  3 Er 3.25-3.38, 4 Pm 3.31-3.49, 2 Tm 3.33
Tm: 0.7997 0.5430 0.5776  1 Pm 3.19, 5 Er 3.27-3.53, 1 Tm 3.33

Results
space-group type	C2/c (15)
energy of formation	0.216	eV per atom
DOS at the Fermi energy	34.07	states/eV per cell
energy relative to the lowest polymorph listed for this composition	0.0	meV/atom